The following is a PBE calculation of a geometry-optimized YCl structure, from Alexandria via LeMat-Bulk.

Cell: 9.936 9.936 3.627 Å, 79.60 79.60 21.03°
Sites, in units of the cell vectors:
Cl (0.988, 0.988, 0.010)
Cl (0.762, 0.762, 0.240)
Y (0.190, 0.190, 0.810)
Y (0.560, 0.560, 0.440)

Values from the calculation:
The uncorrected formation energy comes out at -1402 meV/atom. The total energy comes out at -5.557 eV per atom. For the spin magnetization, the calculation gives 0.000 Bohr magnetons per cell. The value obtained for the density of states at the Fermi level is 0.53 states/eV/f.u. Its space-group type is C2/m, No. 12.


The following is a PBE calculation of a geometry-optimized Mo2PbCl structure, from Alexandria via LeMat-Bulk.

Cell: 2.971 5.246 4.905 Å, 90.00 90.00 90.00°
Each line ends with the local moment (μB).
Sites, in units of the cell vectors:
Cl (0.000, 0.500, 0.500)  -0.02
Mo (0.000, 0.000, 0.000)  -0.65
Mo (0.500, 0.500, 0.000)  1.06
Pb (0.500, 0.000, 0.500)  0.01

Values from the calculation:
The uncorrected formation energy comes out at 836 meV/atom. The total energy comes out at -5.968 eV per atom. For the spin magnetization, the calculation gives 0.485 Bohr magnetons per cell. The value obtained for the density of states at the Fermi level is 3.30 states/eV/f.u. Its space-group type is Pmmm, No. 47.


The following is a PBE calculation of a geometry-optimized Dy7Ho2Mg2 structure, from Alexandria via LeMat-Bulk.

Cell: 6.490 8.438 6.490 Å, 102.17 84.40 77.83°
Sites, in units of the cell vectors:
Dy (0.116, 0.681, 0.523)
Dy (0.477, 0.681, 0.884)
Dy (0.144, 0.083, 0.856)
Dy (0.000, 0.500, 0.000)
Dy (0.856, 0.917, 0.144)
Dy (0.884, 0.319, 0.477)
Dy (0.523, 0.319, 0.116)
Ho (0.680, 0.000, 0.680)
Ho (0.320, 0.000, 0.320)
Mg (0.616, 0.665, 0.384)
Mg (0.384, 0.335, 0.616)

Values from the calculation:
For the energy of formation from the pure elements, the calculation gives 74 meV per atom. The total energy comes out at -3.977 eV per atom. For the spin magnetization, the calculation gives 0.000 Bohr magnetons per cell. The value obtained for the density of states at the Fermi level is 15.78 states/eV/f.u. Its space-group type is C2/m, No. 12.


The following is a PBE calculation of a geometry-optimized GaFe2Ge2 structure, from Alexandria via LeMat-Bulk.

Cell: 6.625 6.625 3.097 Å, 90.00 90.00 90.00°
Each line ends with the local moment (μB).
Sites, in units of the cell vectors:
Ge (0.148, 0.648, 0.500)  -0.04
Ge (0.648, 0.852, 0.500)  -0.04
Ge (0.852, 0.352, 0.500)  -0.04
Ge (0.352, 0.148, 0.500)  -0.04
Fe (0.351, 0.851, 0.000)  0.79
Fe (0.851, 0.649, 0.000)  0.79
Fe (0.649, 0.149, 0.000)  0.79
Fe (0.149, 0.351, 0.000)  0.79
Ga (0.000, 0.000, 0.000)  -0.03
Ga (0.500, 0.500, 0.000)  -0.03

Values from the calculation:
For the energy of formation from the pure elements, the calculation gives 40 meV per atom. The total energy comes out at -5.798 eV per atom. For the spin magnetization, the calculation gives 2.879 Bohr magnetons per cell. The value obtained for the density of states at the Fermi level is 2.88 states/eV/f.u. Its space-group type is P4/mbm, No. 127.


The following is a PBE calculation of a geometry-optimized NdHoGaHg structure, from Alexandria via LeMat-Bulk.

Cell: 3.651 3.651 7.600 Å, 90.00 90.00 90.00°
Sites, in units of the cell vectors:
Nd (0.000, 0.000, 0.840)
Ho (0.000, 0.000, 0.369)
Ga (0.500, 0.500, 0.593)
Hg (0.500, 0.500, 0.127)

Values from the calculation:
For the energy of formation from the pure elements, the calculation gives -527 meV per atom. The total energy comes out at -3.695 eV per atom. For the spin magnetization, the calculation gives 0.000 Bohr magnetons per cell. The value obtained for the density of states at the Fermi level is 2.85 states/eV/f.u. Its space-group type is P4mm, No. 99.


The following is a PBE calculation of a geometry-optimized CaPuZrO6 structure, from Alexandria via LeMat-Bulk.

Cell: 5.626 5.626 9.789 Å, 90.00 90.00 120.00°
Each line ends with the local moment (μB).
Sites, in units of the cell vectors:
Ca (0.000, 0.000, 0.000)  0.00
Ca (0.000, 0.000, 0.500)  0.00
Pu (0.667, 0.333, 0.250)  2.44
Pu (0.333, 0.667, 0.750)  2.44
Zr (0.333, 0.667, 0.250)  0.01
Zr (0.667, 0.333, 0.750)  0.01
O (0.643, 0.636, 0.140)  -0.07
O (0.993, 0.357, 0.140)  -0.07
O (0.357, 0.993, 0.640)  -0.07
O (0.007, 0.643, 0.860)  -0.07
O (0.364, 0.357, 0.360)  -0.07
O (0.993, 0.636, 0.360)  -0.07
O (0.636, 0.993, 0.860)  -0.07
O (0.643, 0.007, 0.360)  -0.07
O (0.007, 0.364, 0.640)  -0.07
O (0.364, 0.007, 0.140)  -0.07
O (0.636, 0.643, 0.640)  -0.07
O (0.357, 0.364, 0.860)  -0.07

Values from the calculation:
The uncorrected formation energy comes out at -2901 meV/atom. The total energy comes out at -8.971 eV per atom. For the spin magnetization, the calculation gives 4.000 Bohr magnetons per cell. The value obtained for the density of states at the Fermi level is 7.81 states/eV/f.u. Its space-group type is P-31c, No. 163.


no.,mass density (Mg/m³)
1,3.3
2,9.4
3,7.5
4,8.0
5,9.5
6,5.8